[1]
The following is a PBE-GGA calculation of a relaxed Li5GaNi2 crystal, from the Alexandria database.

Calculated values
formation energy from the elements	-0.0869	eV per atom
E_tot	-3.1067	eV per atom
volume	218.7	Å³ per cell
theoretical density	3.4	g/cm³
D(E_F)	4.61	states/eV/f.u.

Geometry as extended XYZ:
```
16
Lattice="-2.1244 2.9985 -0.7002 -4.0369 -3.2344 -1.6028 -3.7675 -0.3082 10.1112" Properties=species:S:1:pos:R:3 pbc="T T T"
Li -3.9022 -1.7713 4.2542
Li -3.1655 -1.8597 1.6400
Li -5.1732 0.5572 8.0892
Li -4.6390 -1.6828 6.8684
Li 0.0000 0.0000 0.0000
Li -3.6240 0.4433 2.9008
Li -6.6542 -3.2997 6.0584
Li -1.1502 -0.2428 2.4500
Li -6.3047 -0.9874 4.9074
Li -4.7556 -1.1013 -0.2810
Ga -2.0185 -1.6172 -0.8014
Ga -1.8838 -0.1541 5.0556
Ni -2.7086 0.4672 0.2256
Ni -5.8128 -1.2388 2.3379
Ni -7.2201 -1.0113 7.5826
Ni -4.1160 0.6947 5.4703
```

---

[2]
The following is a PBE-GGA calculation of a relaxed Dy5Y crystal, from the Alexandria database.

Calculated values
formation energy from the elements	0.0193	eV per atom
E_tot	-4.8931	eV per atom
volume	378.5	Å³ per cell
theoretical density	7.9	g/cm³
D(E_F)	8.10	states/eV/f.u.

Geometry as extended XYZ:
```
12
Lattice="-0.5369 5.8883 1.6760 -4.5555 -3.5152 -4.1656 -5.5575 -2.9436 8.5616" Properties=species:S:1:pos:R:3 pbc="T T T"
Dy -10.0562 -1.7996 4.9454
Dy -5.9233 0.9419 4.1686
Dy -6.3467 0.1648 -0.7678
Dy -0.5937 1.2291 1.1265
Dy -7.7753 -0.0390 7.0216
Dy -4.7266 -1.5124 1.9034
Dy -2.4539 0.2438 3.9923
Dy -4.3032 -0.7354 6.8397
Dy -2.8746 -0.5315 -0.9497
Dy -8.1960 -0.8143 2.0797
Y -6.5798 -2.4937 4.7574
Y -4.0701 1.9232 1.3145
```

---

[3]
The following is a PBE-GGA calculation of a relaxed Y5Tl2Sb2 crystal, from the Alexandria database.

Calculated values
E_tot	-5.7778	eV per atom
energy relative to the elements, uncorrected	-0.745	eV/atom
volume	519.0	Å³ per cell
theoretical density	7.0	g/cm³
D(E_F)	6.88	states/eV/f.u.

Geometry as extended XYZ:
```
18
Lattice="-7.0412 2.4642 3.2467 -4.0726 -4.7354 -5.2382 2.3273 -3.5450 7.7380" Properties=species:S:1:pos:R:3 pbc="T T T"
Y -5.2887 -0.7965 2.6885
Y -5.6642 -4.7439 -1.8497
Y -3.4977 -5.0197 3.0580
Y -6.3583 -3.0201 5.5303
Y -5.5569 -1.1356 -0.9957
Y -3.1223 -1.0723 7.5962
Y -0.2617 -3.0719 5.1239
Y -2.4281 -2.7961 0.2162
Y -8.5247 -2.7443 0.6226
Y 0.0000 0.0000 0.0000
Sb -5.4389 -3.5318 1.0788
Sb -3.3475 -2.2844 4.6678
Sb 0.1180 -2.3962 2.0745
Sb -1.8632 -5.8842 0.4254
Tl -3.5053 -2.6735 -2.8887
Tl -3.1355 0.2775 0.4988
Tl -7.6085 0.4023 0.8973
Tl -7.9782 -2.5487 -2.4902
```

---

[4]
The following is a PBE-GGA calculation of a relaxed Ac2Cu2Br crystal, from the Alexandria database.

Calculated values
E_tot	-4.2916	eV per atom
energy relative to the elements, uncorrected	-0.675	eV/atom
volume	145.7	Å³ per cell
theoretical density	7.5	g/cm³
D(E_F)	3.71	states/eV/f.u.

Geometry as extended XYZ:
```
5
Lattice="4.1543 -0.0114 -1.3554 -2.2999 3.7155 -0.0300 0.6812 0.4965 9.1251" Properties=species:S:1:pos:R:3 pbc="T T T"
Cu 1.3446 0.8655 4.1140
Cu 1.1910 3.3352 3.6258
Br 0.0000 0.0000 0.0000
Ac -0.2291 2.4800 6.3242
Ac 2.7648 1.7207 1.4156
```

---

[5]
The following is a PBE-GGA calculation of a relaxed SmWC crystal, from the Alexandria database.

Calculated values
formation energy from the elements	0.4169	eV per atom
E_tot	-8.5485	eV per atom
volume	53.6	Å³ per cell
theoretical density	10.7	g/cm³
ΔE to the lowest computed polymorph	304	meV/atom
D(E_F)	3.98	states/eV/f.u.

Geometry as extended XYZ:
```
3
Lattice="-1.5001 0.4356 4.5145 -1.0944 -3.4299 -0.0327 3.3517 0.8104 1.0355" Properties=species:S:1:pos:R:3 pbc="T T T"
C -0.2501 0.0726 0.7527
W 1.6196 -0.5304 1.4320
Sm -0.6123 -1.7261 3.3326
```

---

[6]
The following is a PBE-GGA calculation of a relaxed Rb2BCBr6 crystal, from the Alexandria database.

Calculated values
E_tot	-2.8471	eV per atom
energy relative to the elements, uncorrected	-0.060	eV/atom
volume	274.3	Å³ per cell
theoretical density	4.1	g/cm³
D(E_F)	2.58	states/eV/f.u.

Geometry as extended XYZ:
```
10
Lattice="-6.6266 -1.4080 1.3777 1.9160 -3.4843 5.6551 -2.7350 2.3709 6.6130" Properties=species:S:1:pos:R:3 pbc="T T T"
Br -1.2759 -1.3252 1.9050
Br -2.5723 0.3075 5.2866
Br -0.3979 -2.9219 4.4965
Br -4.8732 -2.8289 8.3592
Br -3.4346 -3.5671 5.1278
Br -4.3126 -1.9704 2.5363
B -2.3553 -2.4462 3.5164
Rb -5.8584 -0.7416 5.7535
Rb -1.5871 -1.7798 7.8922
C 0.0000 0.0000 0.0000
```